VASP calculation (GGA-PBE) on a geometry-optimized LiNbCoPb structure.

Calculated values
E   -5.561 eV per atom
Space-group type   F-43m (216)
Theoretical density   9856 kg/m3

a b c (Å): 4.4344 4.4344 4.4344
angles (deg): 60.00 60.00 60.00
With the nearest neighbours (Å) after each atom.
Fractional coordinates of all 4 atoms:
Nb (0.5000, 0.5000, 0.5000)  4 Li 2.72, 4 Co 2.72
Pb (0.0000, 0.0000, 0.0000)  4 Co 2.72, 4 Li 2.72
Co (0.7500, 0.7500, 0.7500)  4 Pb 2.72, 4 Nb 2.72
Li (0.2500, 0.2500, 0.2500)  4 Nb 2.72, 4 Pb 2.72